Entry 1:
The following is a PBE calculation of Na2ZrCuAu after structural relaxation, from Alexandria.

abc: 4.897 4.897 5.069
angles: 90.00 90.00 90.00
Sites, in units of the cell vectors:
Na 0.000 0.500 0.000
Na 0.500 0.000 0.000
Zr 0.000 0.000 0.500
Cu 0.000 0.000 0.000
Au 0.500 0.500 0.500

---

Entry 2:
The following is a PBE calculation of NbCuAu after structural relaxation, from Alexandria.

Results
energy above the most stable polymorph in this dataset = 0.18 eV per formula unit

abc: 2.977 3.736 8.802
angles: 90.00 90.00 90.00
Sites, in units of the cell vectors:
Nb 0.250 0.250 0.094
Nb 0.750 0.750 0.906
Cu 0.250 0.250 0.428
Cu 0.750 0.750 0.572
Au 0.250 0.250 0.728
Au 0.750 0.750 0.272

---

Entry 3:
The following is a PBE calculation of NbCuAu after structural relaxation, from Alexandria.

Results
energy above the most stable polymorph in this dataset = 0.00 eV per formula unit

abc: 4.493 4.493 2.735
angles: 90.00 90.00 120.00
Sites, in units of the cell vectors:
Nb 0.000 0.000 0.000
Cu 0.667 0.333 0.500
Au 0.333 0.667 0.500

---

Entry 4:
The following is a PBE calculation of Nb2Cu2Au after structural relaxation, from Alexandria.

Results
energy above the most stable polymorph in this dataset = 0.96 eV per formula unit

abc: 7.828 7.828 2.705
angles: 90.00 90.00 90.00
Sites, in units of the cell vectors:
Nb 0.128 0.372 0.000
Nb 0.372 0.872 0.000
Nb 0.628 0.128 0.000
Nb 0.872 0.628 0.000
Cu 0.167 0.667 0.500
Cu 0.333 0.167 0.500
Cu 0.667 0.833 0.500
Cu 0.833 0.333 0.500
Au 0.000 0.000 0.000
Au 0.500 0.500 0.000

---

Entry 5:
The following is a PBE calculation of NbCuAu3 after structural relaxation, from Alexandria.

Results
energy above the most stable polymorph in this dataset = 2.01 eV per formula unit

abc: 5.125 5.125 5.125
angles: 90.00 90.00 90.00
Sites, in units of the cell vectors:
Nb 0.000 0.000 0.000
Cu 0.500 0.500 0.500
Au 0.000 0.000 0.500
Au 0.000 0.500 0.000
Au 0.500 0.000 0.000

---

Entry 6:
The following is a PBE calculation of NbCu4Au after structural relaxation, from Alexandria.

abc: 4.880 4.880 4.880
angles: 60.00 60.00 60.00
Sites, in units of the cell vectors:
Nb 0.000 0.000 0.000
Cu 0.125 0.625 0.625
Cu 0.625 0.125 0.625
Cu 0.625 0.625 0.125
Cu 0.625 0.625 0.625
Au 0.250 0.250 0.250

---

Entry 7:
The following is a PBE calculation of NbCu5Au4 after structural relaxation, from Alexandria.

abc: 3.098 3.098 15.726
angles: 90.00 90.00 90.00
Sites, in units of the cell vectors:
Nb 0.000 0.000 0.000
Cu 0.500 0.500 0.104
Cu 0.500 0.500 0.301
Cu 0.500 0.500 0.500
Cu 0.500 0.500 0.699
Cu 0.500 0.500 0.896
Au 0.000 0.000 0.201
Au 0.000 0.000 0.400
Au 0.000 0.000 0.600
Au 0.000 0.000 0.799

---

Entry 8:
The following is a PBE calculation of Nb2Cu2Au after structural relaxation, from Alexandria.

Results
energy above the most stable polymorph in this dataset = 1.43 eV per formula unit

abc: 3.203 3.203 16.260
angles: 90.00 90.00 90.00
Sites, in units of the cell vectors:
Nb 0.000 0.000 0.112
Nb 0.000 0.000 0.888
Nb 0.500 0.500 0.388
Nb 0.500 0.500 0.612
Cu 0.000 0.500 0.250
Cu 0.000 0.500 0.750
Cu 0.500 0.000 0.250
Cu 0.500 0.000 0.750
Au 0.000 0.000 0.500
Au 0.500 0.500 0.000

---

Entry 9:
The following is a PBE calculation of NbCuAu after structural relaxation, from Alexandria.

Results
energy above the most stable polymorph in this dataset = 0.25 eV per formula unit

abc: 2.965 5.661 6.243
angles: 75.12 89.93 74.85
Sites, in units of the cell vectors:
Nb 0.177 0.145 0.110
Nb 0.823 0.855 0.890
Cu 0.169 0.163 0.552
Cu 0.831 0.837 0.448
Au 0.483 0.534 0.254
Au 0.517 0.466 0.746

---

Entry 10:
The following is a PBE calculation of NbCu4Au5 after structural relaxation, from Alexandria.

abc: 3.011 3.011 17.240
angles: 90.00 90.00 90.00
Sites, in units of the cell vectors:
Nb 0.000 0.000 0.000
Cu 0.000 0.000 0.212
Cu 0.000 0.000 0.404
Cu 0.000 0.000 0.596
Cu 0.000 0.000 0.788
Au 0.500 0.500 0.114
Au 0.500 0.500 0.308
Au 0.500 0.500 0.500
Au 0.500 0.500 0.692
Au 0.500 0.500 0.886

---

Entry 11:
The following is a PBE calculation of NbCu2Au2 after structural relaxation, from Alexandria.

abc: 7.424 7.424 2.856
angles: 90.00 90.00 90.00
Sites, in units of the cell vectors:
Nb 0.000 0.000 0.000
Nb 0.500 0.500 0.000
Cu 0.117 0.383 0.000
Cu 0.383 0.883 0.000
Cu 0.617 0.117 0.000
Cu 0.883 0.617 0.000
Au 0.181 0.681 0.500
Au 0.319 0.181 0.500
Au 0.681 0.819 0.500
Au 0.819 0.319 0.500

---

Entry 12:
The following is a PBE calculation of NbCu3Au2 after structural relaxation, from Alexandria.

abc: 3.127 3.127 9.270
angles: 90.00 90.00 90.00
Sites, in units of the cell vectors:
Nb 0.000 0.000 0.000
Cu 0.500 0.500 0.173
Cu 0.500 0.500 0.500
Cu 0.500 0.500 0.827
Au 0.000 0.000 0.334
Au 0.000 0.000 0.666

---

Let's list E_form in order: 2.75; -0.02; -0.21; 1.45; 5.94; -0.01; -0.07; 1.91; 0.04; -0.62; 0.31; 0.13 eV per formula unit.
Let's list ρ in order: 5.43; 11.99; 12.27; 10.21; 9.22; 10.99; 13.19; 10.15; 12.04; 14.15; 12.95; 12.41 g cm⁻³.